VASP calculation (PBE) on a geometry-optimized Th6Te5Se structure.

The calculation puts the density of states at the Fermi level at 11.4 states/eV/f.u. Its volume is 30.61 A^3/atom. The uncorrected formation energy is -1.1065 eV per atom.

The structure belongs to space group C2/m (No. 12); the cell edges are 7.893, 13.233 and 7.447 Å and the angles 90.00°, 109.15° and 90.00°. The inequivalent atoms are Th at (0.215, 0.000, 0.235), Th at (0.227, 0.159, 0.728), Te at (0.000, 0.186, 0.000), Te at (0.000, 0.345, 0.500), Te at (0.000, 0.500, 0.000) and Se at (0.000, 0.000, 0.500).